# SrLi3F

A geometry-optimized SrLi3F structure (GGA-PBE, Alexandria via LeMat-Bulk).

Properties
**Fermi-level density of states**: 4.63 states/eV/cell
**Space group**: No. 221
**Crystal system**: cubic
**Volume**: 117.60 Å³/f.u.
**Magnetic moment**: 0.840 μB/f.u.
**Excess energy over the best structure of this formula in the dataset**: 0.00 kcal/mol of atoms
**Energy relative to the elements, uncorrected**: -0.71 eV per atom

POSCAR file:
```
SrLi3F
1.0
4.899 0.000 0.000
0.000 4.899 0.000
0.000 0.000 4.899
Sr Li F
1 3 1
direct
0.000 0.000 0.000 Sr
0.000 0.500 0.500 Li
0.500 0.000 0.500 Li
0.500 0.500 0.000 Li
0.500 0.500 0.500 F
```

***

# Sr2LiF2

A geometry-optimized Sr2LiF2 structure (GGA-PBE, Alexandria via LeMat-Bulk).

Properties
**Fermi-level density of states**: 2.80 states/eV/cell
**Space group**: No. 139
**Crystal system**: tetragonal
**Volume**: 128.75 Å³/f.u.
**Magnetic moment**: 0.000 μB/f.u.
**Excess energy over the best structure of this formula in the dataset**: 0.00 kcal/mol of atoms
**Energy relative to the elements, uncorrected**: -2.28 eV per atom

POSCAR file:
```
Sr2LiF2
1.0
-2.126 2.126 7.120
2.126 -2.126 7.120
2.126 2.126 -7.120
Sr Li F
2 1 2
direct
0.154 0.154 0.000 Sr
0.846 0.846 0.000 Sr
0.500 0.500 0.000 Li
0.250 0.750 0.500 F
0.750 0.250 0.500 F
```

***

# Sr12Li3F5

A geometry-optimized Sr12Li3F5 structure (GGA-PBE, Alexandria via LeMat-Bulk).

Properties
**Fermi-level density of states**: 81.85 states/eV/cell
**Space group**: No. 230
**Crystal system**: cubic
**Volume**: 695.38 Å³/f.u.
**Magnetic moment**: 0.561 μB/f.u.
**Energy relative to the elements, uncorrected**: -1.31 eV per atom

POSCAR file:
```
Sr12Li3F5
1.0
-8.859 8.859 8.859
8.859 -8.859 8.859
8.859 8.859 -8.859
Sr Li F
48 12 20
direct
0.014 0.204 0.114 Sr
0.014 0.310 0.900 Sr
0.090 0.704 0.690 Sr
0.090 0.886 0.400 Sr
0.100 0.614 0.410 Sr
0.100 0.986 0.690 Sr
0.114 0.014 0.204 Sr
0.114 0.600 0.910 Sr
0.190 0.204 0.590 Sr
0.190 0.486 0.600 Sr
0.204 0.114 0.014 Sr
0.204 0.590 0.190 Sr
0.296 0.310 0.910 Sr
0.296 0.486 0.386 Sr
0.310 0.900 0.014 Sr
0.310 0.910 0.296 Sr
0.386 0.296 0.486 Sr
0.386 0.590 0.900 Sr
0.400 0.090 0.886 Sr
0.400 0.810 0.514 Sr
0.410 0.100 0.614 Sr
0.410 0.810 0.796 Sr
0.486 0.386 0.296 Sr
0.486 0.600 0.190 Sr
0.514 0.400 0.810 Sr
0.514 0.614 0.704 Sr
0.590 0.190 0.204 Sr
0.590 0.900 0.386 Sr
0.600 0.190 0.486 Sr
0.600 0.910 0.114 Sr
0.614 0.410 0.100 Sr
0.614 0.704 0.514 Sr
0.690 0.090 0.704 Sr
0.690 0.100 0.986 Sr
0.704 0.514 0.614 Sr
0.704 0.690 0.090 Sr
0.796 0.410 0.810 Sr
0.796 0.886 0.986 Sr
0.810 0.514 0.400 Sr
0.810 0.796 0.410 Sr
0.886 0.400 0.090 Sr
0.886 0.986 0.796 Sr
0.900 0.014 0.310 Sr
0.900 0.386 0.590 Sr
0.910 0.114 0.600 Sr
0.910 0.296 0.310 Sr
0.986 0.690 0.100 Sr
0.986 0.796 0.886 Sr
0.125 0.250 0.375 Li
0.125 0.375 0.750 Li
0.250 0.375 0.125 Li
0.250 0.875 0.625 Li
0.375 0.125 0.250 Li
0.375 0.750 0.125 Li
0.625 0.250 0.875 Li
0.625 0.875 0.750 Li
0.750 0.125 0.375 Li
0.750 0.625 0.875 Li
0.875 0.625 0.250 Li
0.875 0.750 0.625 Li
0.000 0.000 0.000 F
0.000 0.000 0.500 F
0.000 0.500 0.000 F
0.000 0.500 0.500 F
0.125 0.750 0.875 F
0.125 0.875 0.250 F
0.250 0.125 0.875 F
0.250 0.625 0.375 F
0.375 0.250 0.625 F
0.375 0.625 0.750 F
0.500 0.000 0.000 F
0.500 0.000 0.500 F
0.500 0.500 0.000 F
0.500 0.500 0.500 F
0.625 0.375 0.250 F
0.625 0.750 0.375 F
0.750 0.375 0.625 F
0.750 0.875 0.125 F
0.875 0.125 0.750 F
0.875 0.250 0.125 F
```

***

# Sr2LiF

A geometry-optimized Sr2LiF structure (GGA-PBE, Alexandria via LeMat-Bulk).

Properties
**Fermi-level density of states**: 2.74 states/eV/cell
**Space group**: No. 225
**Crystal system**: cubic
**Volume**: 124.80 Å³/f.u.
**Magnetic moment**: 0.000 μB/f.u.
**Excess energy over the best structure of this formula in the dataset**: 12.46 kcal/mol of atoms
**Energy relative to the elements, uncorrected**: -0.78 eV per atom

POSCAR file:
```
Sr2LiF
1.0
0.000 3.966 3.966
3.966 0.000 3.966
3.966 3.966 0.000
Sr Li F
2 1 1
direct
0.250 0.250 0.250 Sr
0.750 0.750 0.750 Sr
0.000 0.000 0.000 Li
0.500 0.500 0.500 F
```

***

# SrLi3F

A geometry-optimized SrLi3F structure (GGA-PBE, Alexandria via LeMat-Bulk).

Properties
**Fermi-level density of states**: 3.23 states/eV/cell
**Space group**: No. 221
**Crystal system**: cubic
**Volume**: 301.72 Å³/f.u.
**Magnetic moment**: 2.000 μB/f.u.
**Excess energy over the best structure of this formula in the dataset**: 27.35 kcal/mol of atoms
**Energy relative to the elements, uncorrected**: 0.47 eV per atom

POSCAR file:
```
SrLi3F
1.0
6.707 0.000 0.000
0.000 6.707 0.000
0.000 0.000 6.707
Sr Li F
1 3 1
direct
0.000 0.000 0.000 Sr
0.000 0.000 0.500 Li
0.000 0.500 0.000 Li
0.500 0.000 0.000 Li
0.500 0.500 0.500 F
```

***

# Sr3LiF

A geometry-optimized Sr3LiF structure (GGA-PBE, Alexandria via LeMat-Bulk).

Properties
**Fermi-level density of states**: 5.17 states/eV/cell
**Space group**: No. 221
**Crystal system**: cubic
**Volume**: 173.17 Å³/f.u.
**Magnetic moment**: 0.000 μB/f.u.
**Excess energy over the best structure of this formula in the dataset**: 0.00 kcal/mol of atoms
**Energy relative to the elements, uncorrected**: -0.97 eV per atom

POSCAR file:
```
Sr3LiF
1.0
5.574 0.000 0.000
0.000 5.574 0.000
0.000 0.000 5.574
Sr Li F
3 1 1
direct
0.000 0.000 0.500 Sr
0.000 0.500 0.000 Sr
0.500 0.000 0.000 Sr
0.500 0.500 0.500 Li
0.000 0.000 0.000 F
```

***

# SrLi2F2

A geometry-optimized SrLi2F2 structure (GGA-PBE, Alexandria via LeMat-Bulk).

Properties
**Fermi-level density of states**: 0.87 states/eV/cell
**Space group**: No. 139
**Crystal system**: tetragonal
**Volume**: 88.15 Å³/f.u.
**Magnetic moment**: 0.000 μB/f.u.
**Energy relative to the elements, uncorrected**: -1.76 eV per atom

POSCAR file:
```
SrLi2F2
1.0
-1.750 1.750 7.193
1.750 -1.750 7.193
1.750 1.750 -7.193
Sr Li F
1 2 2
direct
0.000 0.000 0.000 Sr
0.250 0.750 0.500 Li
0.750 0.250 0.500 Li
0.417 0.417 0.000 F
0.583 0.583 0.000 F
```

***

# Sr2LiF2

A geometry-optimized Sr2LiF2 structure (GGA-PBE, Alexandria via LeMat-Bulk).

Properties
**Fermi-level density of states**: 3.71 states/eV/cell
**Space group**: No. 127
**Crystal system**: tetragonal
**Volume**: 130.40 Å³/f.u.
**Magnetic moment**: 0.000 μB/f.u.
**Excess energy over the best structure of this formula in the dataset**: 12.37 kcal/mol of atoms
**Energy relative to the elements, uncorrected**: -1.75 eV per atom

POSCAR file:
```
Sr2LiF2
1.0
8.786 0.000 0.000
0.000 8.786 0.000
0.000 0.000 3.378
Sr Li F
4 2 4
direct
0.134 0.366 0.000 Sr
0.366 0.866 0.000 Sr
0.634 0.134 0.000 Sr
0.866 0.634 0.000 Sr
0.000 0.000 0.000 Li
0.500 0.500 0.000 Li
0.096 0.596 0.500 F
0.404 0.096 0.500 F
0.596 0.904 0.500 F
0.904 0.404 0.500 F
```

***

# SrLi2TiF8

A geometry-optimized SrLi2TiF8 structure (GGA-PBE, Alexandria via LeMat-Bulk).

Properties
**Fermi-level density of states**: 0.00 states/eV/cell
**Space group**: No. 2
**Crystal system**: triclinic
**Volume**: 164.38 Å³/f.u.
**Magnetic moment**: 0.000 μB/f.u.
**Energy relative to the elements, uncorrected**: -3.36 eV per atom

POSCAR file:
```
SrLi2TiF8
1.0
4.852 0.000 0.000
0.662 4.840 0.000
0.720 0.651 7.000
Sr Li Ti F
1 2 1 8
direct
0.000 0.000 0.000 Sr
0.461 0.461 0.213 Li
0.539 0.539 0.787 Li
0.000 0.000 0.500 Ti
0.199 0.791 0.302 F
0.207 0.799 0.699 F
0.257 0.252 0.454 F
0.328 0.322 0.996 F
0.672 0.678 0.004 F
0.743 0.748 0.546 F
0.793 0.201 0.301 F
0.801 0.209 0.698 F
```

***

# Sr2Li3TiF12

A geometry-optimized Sr2Li3TiF12 structure (GGA-PBE, Alexandria via LeMat-Bulk).

Properties
**Fermi-level density of states**: 13.95 states/eV/cell
**Space group**: No. 166
**Crystal system**: trigonal
**Volume**: 262.97 Å³/f.u.
**Magnetic moment**: 1.062 μB/f.u.
**Energy relative to the elements, uncorrected**: -3.07 eV per atom

POSCAR file:
```
Sr2Li3TiF12
1.0
3.705 2.139 5.530
-3.705 2.139 5.530
0.000 -4.278 5.530
Sr Li Ti F
2 3 1 12
direct
0.157 0.157 0.157 Sr
0.843 0.843 0.843 Sr
0.000 0.500 0.500 Li
0.500 0.000 0.500 Li
0.500 0.500 0.000 Li
0.500 0.500 0.500 Ti
0.110 0.110 0.560 F
0.110 0.560 0.110 F
0.199 0.555 0.555 F
0.440 0.890 0.890 F
0.445 0.445 0.801 F
0.445 0.801 0.445 F
0.555 0.199 0.555 F
0.555 0.555 0.199 F
0.560 0.110 0.110 F
0.801 0.445 0.445 F
0.890 0.440 0.890 F
0.890 0.890 0.440 F
```

***

# SrLiTlF6

A geometry-optimized SrLiTlF6 structure (GGA-PBE, Alexandria via LeMat-Bulk).

Properties
**Fermi-level density of states**: 0.00 states/eV/cell
**Space group**: No. 149
**Crystal system**: trigonal
**Volume**: 141.95 Å³/f.u.
**Magnetic moment**: 0.000 μB/f.u.
**Energy relative to the elements, uncorrected**: -2.78 eV per atom

POSCAR file:
```
SrLiTlF6
1.0
5.538 0.000 0.000
-2.769 4.796 0.000
0.000 0.000 5.343
Sr Li Tl F
1 1 1 6
direct
0.000 0.000 0.000 Sr
0.667 0.333 0.500 Li
0.333 0.667 0.500 Tl
0.362 0.014 0.722 F
0.362 0.348 0.278 F
0.652 0.014 0.278 F
0.652 0.638 0.722 F
0.986 0.348 0.722 F
0.986 0.638 0.278 F
```

***

# SrLiTlF4

A geometry-optimized SrLiTlF4 structure (GGA-PBE, Alexandria via LeMat-Bulk).

Properties
**Fermi-level density of states**: 0.00 states/eV/cell
**Space group**: No. 11
**Crystal system**: monoclinic
**Volume**: 128.19 Å³/f.u.
**Magnetic moment**: 0.000 μB/f.u.
**Energy relative to the elements, uncorrected**: -2.97 eV per atom

POSCAR file:
```
SrLiTlF4
1.0
5.762 0.000 0.000
0.000 5.832 0.000
-2.289 0.000 7.628
Sr Li Tl F
2 2 2 8
direct
0.206 0.250 0.467 Sr
0.794 0.750 0.533 Sr
0.364 0.750 0.717 Li
0.636 0.250 0.283 Li
0.085 0.750 0.126 Tl
0.915 0.250 0.874 Tl
0.143 0.505 0.698 F
0.143 0.995 0.698 F
0.303 0.250 0.188 F
0.354 0.750 0.465 F
0.646 0.250 0.535 F
0.697 0.750 0.812 F
0.857 0.005 0.302 F
0.857 0.495 0.302 F
```

***

# SrLi2TmF8

A geometry-optimized SrLi2TmF8 structure (GGA-PBE, Alexandria via LeMat-Bulk).

Properties
**Fermi-level density of states**: 16.07 states/eV/cell
**Space group**: No. 164
**Crystal system**: trigonal
**Volume**: 204.08 Å³/f.u.
**Magnetic moment**: 1.095 μB/f.u.
**Energy relative to the elements, uncorrected**: -3.21 eV per atom

POSCAR file:
```
SrLi2TmF8
1.0
5.842 0.000 0.000
-2.921 5.059 0.000
0.000 0.000 6.904
Sr Li Tm F
1 2 1 8
direct
0.000 0.000 0.000 Sr
0.333 0.667 0.227 Li
0.667 0.333 0.773 Li
0.000 0.000 0.500 Tm
0.156 0.312 0.289 F
0.156 0.844 0.289 F
0.312 0.156 0.711 F
0.333 0.667 0.952 F
0.667 0.333 0.048 F
0.688 0.844 0.289 F
0.844 0.156 0.711 F
0.844 0.688 0.711 F
```

***

# SrLiTmF6

A geometry-optimized SrLiTmF6 structure (GGA-PBE, Alexandria via LeMat-Bulk).

Properties
**Fermi-level density of states**: 0.00 states/eV/cell
**Space group**: No. 163
**Crystal system**: trigonal
**Volume**: 139.60 Å³/f.u.
**Magnetic moment**: 0.156 μB/f.u.
**Energy relative to the elements, uncorrected**: -3.80 eV per atom

POSCAR file:
```
SrLiTmF6
1.0
5.516 0.000 0.000
-2.758 4.777 0.000
0.000 0.000 10.597
Sr Li Tm F
2 2 2 12
direct
0.000 0.000 0.000 Sr
0.000 0.000 0.500 Sr
0.333 0.667 0.250 Li
0.667 0.333 0.750 Li
0.333 0.667 0.750 Tm
0.667 0.333 0.250 Tm
0.006 0.359 0.141 F
0.006 0.647 0.359 F
0.353 0.359 0.359 F
0.353 0.994 0.141 F
0.359 0.006 0.641 F
0.359 0.353 0.859 F
0.641 0.647 0.141 F
0.641 0.994 0.359 F
0.647 0.006 0.859 F
0.647 0.641 0.641 F
0.994 0.353 0.641 F
0.994 0.641 0.859 F
```